SmHfB | PBE | optimized geometry

The calculation puts the magnetic moment at 0.0 μB per formula unit. For the uncorrected energy, the calculation gives -82.99 eV for the cell shown. The value obtained for the relative energy among the computed polymorphs is 0 meV per atom. As for the density: 9.497 g/cm3.

Unit cell a=6.193 b=6.193 c=6.193 alpha=90.00 beta=90.00 gamma=90.00
Space group F-43m (No. 216)
Inequivalent atoms, fractional coordinates:
Sm 0.000 0.000 0.000 [4 per cell]
Hf 0.000 0.000 0.500 [4 per cell]
B 0.250 0.250 0.750 [4 per cell]